1.
# CuTe4P

A geometry-optimized CuTe4P structure (PBE, the Alexandria database).

Unit cell a=6.1963 b=6.1963 c=6.1963 alpha=60.00 beta=60.00 gamma=60.00
Positions (direct):
Te 0.3741 0.3741 0.3741
Te 0.3741 0.8778 0.3741
Te 0.3741 0.3741 0.8778
P 0.0000 0.0000 0.0000
Cu 0.7500 0.7500 0.7500
Te 0.8778 0.3741 0.3741

Output
* raw total energy: -16.12 eV/cell
* formation energy from raw total energies: 6.0 eV per formula unit

2.
# CuTe3P

A geometry-optimized CuTe3P structure (PBE, the Alexandria database).

Unit cell a=5.1889 b=5.1889 c=5.1889 alpha=90.00 beta=90.00 gamma=90.00
Positions (direct):
Cu 0.5000 0.5000 0.5000
Te 0.0000 0.5000 0.0000
P 0.0000 0.0000 0.0000
Te 0.5000 0.0000 0.0000
Te 0.0000 0.0000 0.5000

Output
* raw total energy: -15.16 eV/cell
* excess energy over the best structure of this formula in the dataset: 0 meV per atom
* formation energy from raw total energies: 3.8 eV per formula unit

3.
# Cu2TeP

A geometry-optimized Cu2TeP structure (PBE, the Alexandria database).

Unit cell a=3.6970 b=3.6970 c=6.1357 alpha=70.34 beta=70.34 gamma=62.29
Positions (direct):
Cu 0.4767 0.4767 0.5595
P 0.7500 0.7500 0.7500
Cu 0.0233 0.0233 0.9405
Te 0.2500 0.2500 0.2500

Output
* raw total energy: -16.25 eV/cell
* excess energy over the best structure of this formula in the dataset: 68 meV per atom
* formation energy from raw total energies: 0.5 eV per formula unit

4.
# Cu2TeP

A geometry-optimized Cu2TeP structure (PBE, the Alexandria database).

Unit cell a=6.1458 b=6.1458 c=6.1458 alpha=37.23 beta=37.23 gamma=37.23
Positions (direct):
Cu 0.7729 0.7729 0.7729
Cu 0.0219 0.0219 0.0219
Te 0.2718 0.2718 0.2718
P 0.4334 0.4334 0.4334

Output
* raw total energy: -16.24 eV/cell
* excess energy over the best structure of this formula in the dataset: 69 meV per atom
* formation energy from raw total energies: 0.5 eV per formula unit

5.
# CuTeP2

A geometry-optimized CuTeP2 structure (PBE, the Alexandria database).

Unit cell a=7.1758 b=7.1758 c=7.1758 alpha=154.80 beta=131.50 gamma=55.42
Positions (direct):
Cu 0.1891 0.6891 0.5000
P 0.9206 0.4206 0.5000
Te 0.3548 0.3548 0.0000
P 0.0354 0.0354 0.0000

Output
* raw total energy: -16.69 eV/cell
* formation energy from raw total energies: 1.4 eV per formula unit

6.
# Cu2TeP

A geometry-optimized Cu2TeP structure (PBE, the Alexandria database).

Unit cell a=5.4208 b=5.4208 c=5.4208 alpha=138.87 beta=138.87 gamma=59.58
Positions (direct):
Cu 0.0000 0.0000 0.0000
Cu 0.2500 0.7500 0.5000
P 0.5000 0.5000 0.0000
Te 0.7500 0.2500 0.5000

Output
* raw total energy: -14.93 eV/cell
* excess energy over the best structure of this formula in the dataset: 397 meV per atom
* formation energy from raw total energies: 1.8 eV per formula unit

7.
# Cu2TeP

A geometry-optimized Cu2TeP structure (PBE, the Alexandria database).

Unit cell a=4.5900 b=4.5325 c=4.6083 alpha=68.10 beta=74.49 gamma=111.74
Positions (direct):
Te 0.5000 0.5000 0.0000
Cu 0.5000 0.0000 0.5000
P 0.0000 0.5000 0.5000
Cu 0.0000 0.0000 0.0000

Output
* raw total energy: -15.58 eV/cell
* excess energy over the best structure of this formula in the dataset: 234 meV per atom
* formation energy from raw total energies: 1.2 eV per formula unit

8.
# Cu2TeP

A geometry-optimized Cu2TeP structure (PBE, the Alexandria database).

Unit cell a=4.7986 b=4.7986 c=4.7986 alpha=127.52 beta=127.52 gamma=77.40
Positions (direct):
Cu 0.0000 0.0000 0.0000
Cu 0.5000 0.5000 0.0000
P 0.2500 0.7500 0.5000
Te 0.7500 0.2500 0.5000

Output
* raw total energy: -14.89 eV/cell
* excess energy over the best structure of this formula in the dataset: 406 meV per atom
* formation energy from raw total energies: 1.9 eV per formula unit

Look up the formation energy from raw total energies of the sixth one. 1.8 eV per formula unit

Among the records above, which one has the lowest raw total energy? CuTeP2

What is the raw total energy in the fourth record? -16.24 eV/cell